(1)
Material: Ba4Te
Method: DFT, PBE-GGA
State: optimized geometry

Computed properties:
Energy relative to the lowest polymorph listed for this composition ... 28.4 kJ per mole of atoms
V ... 265 Å³/cell
Raw formation energy ... -0.24 eV/atom

```
Ba4Te
1.0
-2.539 10.720 4.601
1.944 11.772 -0.415
-2.264 -10.901 -4.309
Ba Te
4 1
direct
0.750 0.250 0.500
0.581 0.581 0.000
0.250 0.750 0.500
0.419 0.419 0.000
0.000 0.000 0.000
```


(2)
Material: Ba3Te2
Method: DFT, PBE-GGA
State: optimized geometry

Computed properties:
Energy relative to the lowest polymorph listed for this composition ... 6.0 kJ per mole of atoms
V ... 511 Å³/cell
Raw formation energy ... -1.29 eV/atom

```
Ba3Te2
1.0
-7.374 4.125 -0.031
-5.472 -1.081 6.346
-0.788 7.291 6.188
Te Ba
4 6
direct
0.338 0.338 0.987
0.838 0.838 0.487
0.162 0.162 0.513
0.662 0.662 0.013
0.076 0.750 0.750
0.576 0.924 0.250
0.250 0.576 0.250
0.750 0.424 0.750
0.924 0.250 0.250
0.424 0.076 0.750
```


(3)
Material: Ba4Te5
Method: DFT, PBE-GGA
State: optimized geometry

Computed properties:
V ... 689 Å³/cell
Raw formation energy ... -1.44 eV/atom

```
Ba4Te5
1.0
-0.651 -2.038 -10.426
9.412 -0.504 4.943
-1.098 -6.797 1.397
Ba Te
8 10
direct
0.000 0.000 0.000
0.000 0.615 0.750
0.615 0.615 0.250
0.385 0.000 0.250
0.615 0.000 0.750
0.000 0.000 0.500
0.000 0.385 0.250
0.385 0.385 0.750
0.667 0.333 0.500
0.000 0.275 0.750
0.333 0.667 0.000
0.725 0.000 0.250
0.000 0.725 0.250
0.333 0.667 0.500
0.275 0.000 0.750
0.667 0.333 0.000
0.275 0.275 0.250
0.725 0.725 0.750
```


(4)
Material: Ba2Te
Method: DFT, PBE-GGA
State: optimized geometry

Computed properties:
V ... 164 Å³/cell
Raw formation energy ... -1.07 eV/atom

```
Ba2Te
1.0
4.789 0.000 0.000
-2.394 4.147 0.000
0.000 0.000 8.266
Te Ba
1 2
direct
0.000 0.000 0.000
0.333 0.667 0.255
0.667 0.333 0.745
```


(5)
Material: BaTe2
Method: DFT, PBE-GGA
State: optimized geometry

Computed properties:
V ... 281 Å³/cell
Raw formation energy ... -0.96 eV/atom

```
BaTe2
1.0
-2.723 2.935 8.796
2.723 -2.935 8.796
2.723 2.935 -8.796
Te Ba
4 2
direct
0.971 0.221 0.750
0.769 0.519 0.250
0.029 0.779 0.250
0.231 0.481 0.750
0.644 0.894 0.750
0.356 0.106 0.250
```


(6)
Material: BaTe2
Method: DFT, PBE-GGA
State: optimized geometry

Computed properties:
V ... 131 Å³/cell
Raw formation energy ... -0.74 eV/atom

```
BaTe2
1.0
6.104 0.000 0.000
0.000 6.104 0.000
0.000 0.000 3.513
Te Ba
2 1
direct
0.000 0.500 0.500
0.500 0.000 0.500
0.000 0.000 0.000
```


(7)
Material: BaTe
Method: DFT, PBE-GGA
State: optimized geometry

Computed properties:
V ... 89 Å³/cell
Raw formation energy ... -1.67 eV/atom

```
BaTe
1.0
-3.660 -0.229 3.134
0.169 -3.045 -3.737
2.282 -2.886 2.454
Ba Te
1 1
direct
0.000 0.000 0.000
0.667 0.333 0.500
```


(8)
Material: Ba2Te
Method: DFT, PBE-GGA
State: optimized geometry

Computed properties:
V ... 118 Å³/cell
Raw formation energy ... -0.42 eV/atom

```
Ba2Te
1.0
5.875 0.000 0.000
-2.938 5.088 0.000
0.000 0.000 3.950
Te Ba
1 2
direct
0.000 0.000 0.000
0.333 0.667 0.500
0.667 0.333 0.500
```